Entry 1:
A relaxed Y4Ho8Th3 crystal, computed with GGA-PBE.

Summary:
Calculated formation energy   0.4342 eV/atom

a = 13.279 Å, b = 12.863 Å, c = 6.726 Å
α = 90.00°, β = 120.10°, γ = 90.00°
Space group C2/m (No. 12)
Inequivalent atoms, fractional coordinates:
1 Y 0.000 0.000 0.000 x2
2 Y 0.000 0.500 0.500 x2
3 Y 0.250 0.250 0.000 x4
4 Ho 0.000 0.142 0.500 x4
5 Ho 0.000 0.245 0.000 x4
6 Ho 0.233 0.000 0.502 x4
7 Ho 0.238 0.000 0.982 x4
8 Th 0.000 0.500 0.000 x2
9 Th 0.250 0.250 0.500 x4

***

Entry 2:
A relaxed Pm4SiAsSe2 crystal, computed with GGA-PBE.

Summary:
Formation energy from raw total energies   -12.39 eV per formula unit

a = 7.322 Å, b = 4.226 Å, c = 7.345 Å
α = 90.00°, β = 109.34°, γ = 90.00°
Space group P2/m (No. 10)
Inequivalent atoms, fractional coordinates:
1 Pm 0.243 0.000 0.238 x2
2 Pm 0.251 0.500 0.762 x2
3 Si 0.000 0.500 0.000 x1
4 As 0.500 0.000 0.000 x1
5 Se 0.000 0.000 0.500 x1
6 Se 0.500 0.500 0.500 x1

***

Entry 3:
A relaxed NiPbCl2 crystal, computed with GGA-PBE.

Summary:
Energy relative to the lowest polymorph listed for this composition   419 meV per atom
Formation energy from raw total energies   -0.21 eV per formula unit

a = 6.286 Å, b = 7.852 Å, c = 5.010 Å
α = 90.00°, β = 128.66°, γ = 90.00°
Space group C2/m (No. 12)
Inequivalent atoms, fractional coordinates:
1 Ni 0.000 0.000 0.000 x2
2 Pb 0.000 0.500 0.000 x2
3 Cl 0.250 0.250 0.500 x4

***

Entry 4:
A relaxed NiGePt3 crystal, computed with GGA-PBE.

Summary:
Energy relative to the lowest polymorph listed for this composition   125 meV per atom
Calculated formation energy   -0.1359 eV/atom

a = 11.244 Å, b = 5.651 Å, c = 9.883 Å
α = 90.00°, β = 96.72°, γ = 90.00°
Space group C2/c (No. 15)
Inequivalent atoms, fractional coordinates:
1 Ni 0.154 0.016 0.141 x8
2 Ge 0.000 0.220 0.750 x4
3 Ge 0.250 0.250 0.500 x4
4 Pt 0.014 0.264 0.486 x8
5 Pt 0.126 0.403 0.267 x8
6 Pt 0.193 0.139 0.889 x8

***

Entry 5:
A relaxed TlCuPd6 crystal, computed with GGA-PBE.

Summary:
Energy relative to the lowest polymorph listed for this composition   106 meV per atom
Calculated formation energy   0.0023 eV/atom

a = 5.103 Å, b = 5.133 Å, c = 5.137 Å
α = 94.13°, β = 94.03°, γ = 94.18°
Space group P-1 (No. 2)
Inequivalent atoms, fractional coordinates:
1 Tl 0.000 0.000 0.000 x1
2 Cu 0.500 0.500 0.500 x1
3 Pd 0.060 0.747 0.460 x2
4 Pd 0.253 0.541 0.937 x2
5 Pd 0.461 0.062 0.747 x2

***

Entry 6:
A relaxed ZnCdCu4 crystal, computed with GGA-PBE.

Summary:
Energy relative to the lowest polymorph listed for this composition   0 meV per atom
Calculated formation energy   0.0284 eV/atom

a = 4.388 Å, b = 8.728 Å, c = 4.339 Å
α = 90.00°, β = 90.00°, γ = 90.00°
Space group Cmmm (No. 65)
Inequivalent atoms, fractional coordinates:
1 Zn 0.000 0.000 0.000 x2
2 Cd 0.000 0.500 0.500 x2
3 Cu 0.000 0.173 0.500 x4
4 Cu 0.000 0.319 0.000 x4

***

Entry 7:
A relaxed MnCo2Rh crystal, computed with GGA-PBE.

Summary:
Calculated formation energy   0.1217 eV/atom

a = 5.039 Å, b = 8.265 Å, c = 2.612 Å
α = 90.00°, β = 110.05°, γ = 90.00°
Space group C2/m (No. 12)
Inequivalent atoms, fractional coordinates:
1 Mn 0.000 0.000 0.000 x2
2 Co 0.250 0.250 0.500 x4
3 Rh 0.000 0.500 0.000 x2

***

Entry 8:
A relaxed Rb3TbTm3Te8 crystal, computed with GGA-PBE.

Summary:
Formation energy from raw total energies   -19.51 eV per formula unit

a = 8.7502 Å, b = 8.7502 Å, c = 26.4848 Å
α = 90.00°, β = 90.00°, γ = 120.00°
Space group R-3m (No. 166, hexagonal axes)
Inequivalent atoms, fractional coordinates:
1 Rb 0.0000 0.5000 0.0000 x9
2 Tb 0.0000 0.0000 0.5000 x3
3 Tm 0.0000 0.5000 0.5000 x9
4 Te 0.0000 0.0000 0.2325 x6
5 Te 0.0063 0.5032 0.7670 x18

***

no.,uncorrected energy (eV per cell),total magnetization (μB/cell),DOS at the Fermi energy (states/eV/f.u.)
1,-156.449,0.0,29.2
2,-48.429,0.0,1.5
3,-26.784,0.9,2.8
4,-233.603,0.0,4.7
5,-37.601,0.0,8.5
6,-36.807,0.0,1.7
7,-60.492,15.9,4.1
8,-196.785,0.0,6.4